The following is a DFT calculation (PBE-GGA) of Er2PaPd2S6 after structural relaxation.

The space group is P-31m (No. 162) and the conventional cell measures 6.5610, 6.5610 and 6.2947 Å, with angles of 90.00, 90.00 and 120.00 degrees. The asymmetric unit holds Er at (0.3333, 0.6667, 0.0000), Pa at (0.0000, 0.0000, 0.5000), Pd at (0.3333, 0.6667, 0.5000) and S at (0.0000, 0.3331, 0.7472).

For the magnetization, the calculation gives 0.00 μB/f.u. The formation energy from raw total energies is -1326 meV per atom.